YCrF | PBE+U | optimized geometry

total magnetic moment = 4.10 μB per formula unit
DFT total energy = -39.38 eV per cell
energy relative to the lowest polymorph listed for this composition = 0.168 eV per atom
SG = No. 12

```
6
Lattice="3.173 -1.826 0.000 3.173 1.826 0.000 -2.095 0.000 10.668" Properties=species:S:1:pos:R:3 pbc="T T T"
Y 0.010 0.000 3.486
Y 4.241 0.000 7.181
Cr 2.120 0.000 1.133
Cr 2.132 0.000 9.534
F 0.008 0.000 6.059
F 4.243 0.000 4.608
```